(1)
4
Lattice="-0.234 -0.397 4.106 -0.928 -3.663 1.672 6.915 -3.090 2.174" Properties=species:S:1:pos:R:3 comment="Np2SbSe (GGA-PBE, optimized geometry)" dos_at_fermi_per_ev_cell=16.71 raw_formation_energy_mev_per_atom=-517 total_energy_ev_per_atom=-8.889 e_above_lowest_polymorph_mev_per_atom=108 vol_a3_per_cell=111.0 mass_density_g_cm3=10.09 pbc="T T T"
Se 2.920 -3.586 3.977
Np 1.520 -1.807 1.991
Np 5.001 -2.635 2.109
Sb 6.104 -5.788 6.024



(2)
20
Lattice="4.022 0.000 0.000 0.000 12.360 0.686 0.000 -3.459 11.498" Properties=species:S:1:pos:R:3 comment="NpSb3Se6 (GGA-PBE, optimized geometry)" dos_at_fermi_per_ev_cell=15.04 raw_formation_energy_mev_per_atom=-477 total_energy_ev_per_atom=-5.099 vol_a3_per_cell=581.1 mass_density_g_cm3=6.15 pbc="T T T"
Se 1.006 1.599 2.990
Se 1.006 5.458 4.724
Se 1.006 9.151 6.799
Se 1.006 0.223 8.426
Se 3.017 11.290 2.053
Se 1.006 -2.389 10.131
Se 3.017 8.678 3.757
Se 3.017 4.896 1.498
Se 3.017 7.302 9.194
Se 1.006 4.005 10.685
Se 3.017 3.443 7.460
Se 3.017 -0.250 5.384
Np 1.006 10.884 4.329
Np 3.017 -1.982 7.855
Sb 3.017 1.570 1.181
Sb 1.006 1.859 6.339
Sb 3.017 2.331 9.980
Sb 3.017 7.042 5.845
Sb 1.006 6.571 2.203
Sb 1.006 7.331 11.002



(3)
3
Lattice="-2.544 1.173 -2.415 1.943 -1.492 -2.771 -2.442 -4.536 3.200" Properties=species:S:1:pos:R:3 comment="NpSbSe (GGA-PBE, optimized geometry)" dos_at_fermi_per_ev_cell=7.59 raw_formation_energy_mev_per_atom=-476 total_energy_ev_per_atom=-7.325 vol_a3_per_cell=74.9 mass_density_g_cm3=9.71 pbc="T T T"
Sb -1.801 -3.085 0.398
Se -0.160 -0.273 0.035
Np -1.081 -1.497 -2.421



(4)
6
Lattice="4.173 0.000 0.000 0.000 4.173 0.000 -2.087 -2.087 8.667" Properties=species:S:1:pos:R:3 comment="NpSbSe (GGA-PBE, optimized geometry)" dos_at_fermi_per_ev_cell=18.20 raw_formation_energy_mev_per_atom=-782 total_energy_ev_per_atom=-7.631 vol_a3_per_cell=150.9 mass_density_g_cm3=9.63 pbc="T T T"
Sb 2.087 0.000 0.000
Sb 0.000 2.087 0.000
Np 2.087 2.087 2.593
Np 0.000 0.000 6.074
Se 0.000 0.000 3.165
Se 2.087 2.087 5.502



(5)
80
Lattice="14.680 0.000 0.000 -4.893 13.841 0.000 -4.893 -6.920 11.986" Properties=species:S:1:pos:R:3 comment="Np3Sb5Se12 (GGA-PBE, optimized geometry)" dos_at_fermi_per_ev_cell=107.68 raw_formation_energy_mev_per_atom=-422 total_energy_ev_per_atom=-5.485 vol_a3_per_cell=2435.5 mass_density_g_cm3=6.18 pbc="T T T"
Se 3.424 5.960 4.991
Se -1.761 -0.754 5.347
Se 3.132 1.548 3.972
Se -3.916 11.722 1.664
Se 2.862 8.666 1.018
Se -1.470 -3.842 8.660
Se -0.686 0.794 2.667
Se 6.925 6.911 2.021
Se 10.202 6.929 2.021
Se -2.571 3.245 7.657
Se 9.663 1.549 0.646
Se -0.415 5.175 1.018
Se -3.132 7.714 9.320
Se -5.017 10.166 4.329
Se 5.579 6.127 9.320
Se 9.911 -3.245 7.657
Se 1.470 0.960 6.996
Se 8.026 -0.794 2.667
Se 2.032 -1.745 10.968
Se 0.124 4.794 4.975
Se -4.208 6.166 6.639
Se -5.870 3.842 8.660
Se 6.654 7.674 6.639
Se 6.363 10.762 3.327
Se 8.810 -4.802 10.322
Se 2.032 1.754 10.984
Se 5.309 1.745 10.968
Se -1.470 4.802 10.322
Se 2.862 5.166 1.003
Se 2.323 9.047 4.975
Se 7.464 12.292 0.646
Se -5.309 -0.009 9.966
Se -2.571 -5.372 11.341
Se -0.415 8.675 1.003
Se 1.761 5.373 8.014
Se 7.464 3.675 4.329
Se 6.363 2.118 1.664
Se -4.770 5.372 11.341
Se 4.208 -1.548 3.972
Se 5.870 -0.960 6.996
Se 0.686 8.468 8.014
Se 9.101 0.754 5.347
Se 5.309 -1.754 10.984
Se 2.571 -2.127 7.011
Se 4.770 2.127 7.011
Se 10.764 3.078 3.327
Se -2.032 0.009 9.966
Se -0.977 7.880 4.991
Np 6.117 0.865 4.495
Np 11.010 0.000 2.997
Np 8.564 4.325 1.498
Np 3.670 7.785 7.492
Np -3.670 -2.595 10.488
Np 1.223 6.920 2.997
Np 3.670 0.000 8.990
Np -6.117 6.920 8.990
Np -1.223 6.055 7.492
Np 1.223 -0.865 4.495
Np -3.670 2.595 10.488
Np 8.564 9.515 1.498
Sb 6.117 -4.325 10.488
Sb 1.223 -3.460 8.990
Sb 6.117 6.055 4.495
Sb 3.670 2.595 1.498
Sb 8.564 -0.865 7.492
Sb -3.670 7.785 4.495
Sb 4.893 -3.460 5.993
Sb 4.893 6.920 0.000
Sb 0.000 0.000 0.000
Sb -2.447 6.920 0.000
Sb 7.340 0.000 0.000
Sb -2.447 -3.460 5.993
Sb 2.447 3.460 5.993
Sb 3.670 10.381 2.997
Sb -1.223 3.460 2.997
Sb -4.893 3.460 5.993
Sb 6.117 3.460 8.990
Sb 1.223 4.325 10.488
Sb -1.223 11.246 1.498
Sb -1.223 0.865 7.492



(6)
3
Lattice="3.931 0.000 0.000 -1.965 3.404 0.000 0.000 0.000 7.192" Properties=species:S:1:pos:R:3 comment="NpSbSe (GGA-PBE, optimized geometry)" dos_at_fermi_per_ev_cell=6.99 raw_formation_energy_mev_per_atom=-264 total_energy_ev_per_atom=-7.114 vol_a3_per_cell=96.2 mass_density_g_cm3=7.55 pbc="T T T"
Np 1.965 1.135 2.204
Sb 0.000 2.269 4.408
Se 0.000 0.000 0.580